Ba2WC: optimized geometry, PBE-GGA.

Cell: 11.5535 11.5535 4.0908 Å, 90.00 90.00 90.00°
Space group I-42d (No. 122)
Inequivalent atoms, fractional coordinates:
Ba  0.0593  0.2500  0.1250 x8
W  0.0000  0.0000  0.5000 x4
C  0.0000  0.0000  0.0000 x4

Its density of states at the Fermi level is 0.99 states/eV/atom. The value obtained for the electronic total energy is -92.4 eV/cell. For the energy of formation from the pure elements, the calculation gives 0.732 eV/atom.

BaW3C: optimized geometry, PBE-GGA.

Cell: 4.9881 4.9881 4.9881 Å, 90.00 90.00 90.00°
Space group Pm-3m (No. 221)
Inequivalent atoms, fractional coordinates:
Ba  0.0000  0.0000  0.0000 x1
W  0.0000  0.0000  0.5000 x3
C  0.5000  0.5000  0.5000 x1

Its density of states at the Fermi level is 1.99 states/eV/atom. The value obtained for the electronic total energy is -24.2 eV/cell. The excess energy over the best structure of this formula in the dataset is 3878 meV per atom. For the energy of formation from the pure elements, the calculation gives 5.159 eV/atom.

BaWC3: optimized geometry, PBE-GGA.

Cell: 4.2415 4.2415 4.2415 Å, 90.00 90.00 90.00°
Space group Pm-3m (No. 221)
Inequivalent atoms, fractional coordinates:
Ba  0.0000  0.0000  0.0000 x1
W  0.5000  0.5000  0.5000 x1
C  0.0000  0.5000  0.5000 x3

Its density of states at the Fermi level is 0.92 states/eV/atom. The value obtained for the electronic total energy is -37.7 eV/cell. The excess energy over the best structure of this formula in the dataset is 0 meV per atom. For the energy of formation from the pure elements, the calculation gives 0.967 eV/atom.

BaWC3: optimized geometry, PBE-GGA.

Cell: 4.3877 4.3877 4.3877 Å, 90.00 90.00 90.00°
Space group Pm-3m (No. 221)
Inequivalent atoms, fractional coordinates:
Ba  0.0000  0.0000  0.0000 x1
W  0.5000  0.5000  0.5000 x1
C  0.0000  0.0000  0.5000 x3

Its density of states at the Fermi level is 1.03 states/eV/atom. The value obtained for the electronic total energy is -21.2 eV/cell. The excess energy over the best structure of this formula in the dataset is 3300 meV per atom. For the energy of formation from the pure elements, the calculation gives 4.266 eV/atom.

BaW2C: optimized geometry, PBE-GGA.

Cell: 9.0923 9.0923 9.0923 Å, 90.00 90.00 90.00°
Space group Fd-3m (No. 227, origin choice 2)
Inequivalent atoms, fractional coordinates:
Ba  0.1250  0.1250  0.1250 x8
W  0.0000  0.0000  0.5000 x16
C  0.1250  0.1250  0.6250 x8

Its density of states at the Fermi level is 1.17 states/eV/atom. The value obtained for the electronic total energy is -264.6 eV/cell. For the energy of formation from the pure elements, the calculation gives 0.994 eV/atom.

Ba3WC: optimized geometry, PBE-GGA.

Cell: 5.6872 5.6872 5.6872 Å, 90.00 90.00 90.00°
Space group Pm-3m (No. 221)
Inequivalent atoms, fractional coordinates:
Ba  0.0000  0.0000  0.5000 x3
W  0.5000  0.5000  0.5000 x1
C  0.0000  0.0000  0.0000 x1

Its density of states at the Fermi level is 1.62 states/eV/atom. The value obtained for the electronic total energy is -21.0 eV/cell. The excess energy over the best structure of this formula in the dataset is 0 meV per atom. For the energy of formation from the pure elements, the calculation gives 1.394 eV/atom.